K2AlSb: PBEsol geometry, SCAN.

It has space group P4/mmm (No. 123), with a = 5.5362 Å, b = 5.5362 Å, c = 4.2128 Å, α = 90.00°, β = 90.00° and γ = 90.00°. The asymmetric unit holds K at (0.0000, 0.5000, 0.0000), Al at (0.0000, 0.0000, 0.5000) and Sb at (0.5000, 0.5000, 0.5000).

The value obtained for the energy relative to the elements, uncorrected is 0.13 eV per atom. The value obtained for the energy above the most stable polymorph in this dataset is 86 meV per atom. As for the theoretical density: 2.92 g/cm³.

=====

KAlSb2: PBEsol geometry, SCAN.

It has space group R-3m (No. 166, hexagonal axes), with a = 3.7863 Å, b = 3.7863 Å, c = 27.3084 Å, α = 90.00°, β = 90.00° and γ = 120.00°. The asymmetric unit holds K at (0.0000, 0.0000, 0.0000), Al at (0.0000, 0.0000, 0.5000) and Sb at (0.0000, 0.0000, 0.2313).

The value obtained for the energy relative to the elements, uncorrected is -0.14 eV per atom. As for the theoretical density: 4.55 g/cm³.

=====

KAl4Sb: PBEsol geometry, SCAN.

It has space group F-43m (No. 216), with a = 8.0574 Å, b = 8.0574 Å, c = 8.0574 Å, α = 90.00°, β = 90.00° and γ = 90.00°. The asymmetric unit holds K at (0.0000, 0.0000, 0.0000), Al at (0.1247, 0.1247, 0.3753) and Sb at (0.2500, 0.2500, 0.7500).

The value obtained for the energy relative to the elements, uncorrected is 0.23 eV per atom. As for the theoretical density: 3.41 g/cm³.

=====

KAl2Sb: PBEsol geometry, SCAN.

It has space group P4/mmm (No. 123), with a = 3.7350 Å, b = 3.7350 Å, c = 7.7789 Å, α = 90.00°, β = 90.00° and γ = 90.00°. The asymmetric unit holds K at (0.0000, 0.0000, 0.0000), Al at (0.5000, 0.5000, 0.3225) and Sb at (0.0000, 0.0000, 0.5000).

The value obtained for the energy relative to the elements, uncorrected is 0.10 eV per atom. As for the theoretical density: 3.29 g/cm³.

=====

KSrAlSb2: PBEsol geometry, SCAN.

It has space group P4/mmm (No. 123), with a = 5.9622 Å, b = 5.9622 Å, c = 5.9670 Å, α = 90.00°, β = 90.00° and γ = 90.00°. The asymmetric unit holds K at (0.0000, 0.0000, 0.0000), Sr at (0.0000, 0.0000, 0.5000), Al at (0.5000, 0.5000, 0.0000) and Sb at (0.0000, 0.5000, 0.5000).

The value obtained for the energy relative to the elements, uncorrected is 0.60 eV per atom. As for the theoretical density: 3.11 g/cm³.

=====

KAlSbTe2: PBEsol geometry, SCAN.

It has space group P4/mmm (No. 123), with a = 5.5424 Å, b = 5.5424 Å, c = 5.1909 Å, α = 90.00°, β = 90.00° and γ = 90.00°. The asymmetric unit holds K at (0.0000, 0.0000, 0.0000), Al at (0.5000, 0.5000, 0.5000), Sb at (0.5000, 0.5000, 0.0000) and Te at (0.0000, 0.5000, 0.5000).

The value obtained for the energy relative to the elements, uncorrected is -0.15 eV per atom. As for the theoretical density: 4.61 g/cm³.

=====

KAlSe2: PBEsol geometry, SCAN.

It has space group P2/m (No. 10), with a = 4.2786 Å, b = 3.5207 Å, c = 7.3177 Å, α = 90.00°, β = 98.87° and γ = 90.00°. The asymmetric unit holds K at (0.0000, 0.0000, 0.0000), Al at (0.5000, 0.0000, 0.5000) and Se at (0.4217, 0.5000, 0.7207).

The value obtained for the energy relative to the elements, uncorrected is -1.02 eV per atom. As for the theoretical density: 3.42 g/cm³.

=====

K3AlSe3: PBEsol geometry, SCAN.

It has space group P2_1/c (No. 14), with a = 8.0160 Å, b = 12.9661 Å, c = 10.3353 Å, α = 90.00°, β = 127.37° and γ = 90.00°. The asymmetric unit holds K at (0.1230, 0.1200, 0.4743), K at (0.1688, 0.1001, 0.8960), K at (0.3558, 0.6853, 0.5699), Al at (0.4400, 0.0627, 0.3398), Se at (0.1634, 0.1851, 0.1949), Se at (0.3334, 0.6060, 0.8693) and Se at (0.3704, 0.5492, 0.2667).

The value obtained for the energy relative to the elements, uncorrected is -1.38 eV per atom. As for the theoretical density: 2.97 g/cm³.

=====

KAlSe2: PBEsol geometry, SCAN.

It has space group C2/c (No. 15), with a = 10.8314 Å, b = 10.8317 Å, c = 15.4151 Å, α = 90.00°, β = 100.12° and γ = 90.00°. The asymmetric unit holds K at (0.0354, 0.1867, 0.3913), K at (0.2157, 0.4377, 0.1120), Al at (0.1017, 0.1891, 0.6625), Al at (0.1454, 0.4361, 0.8374), Se at (0.0000, 0.0536, 0.7500), Se at (0.0000, 0.4283, 0.2500), Se at (0.0462, 0.3126, 0.9345), Se at (0.2045, 0.0624, 0.5683) and Se at (0.2409, 0.1875, 0.2500).

The value obtained for the energy relative to the elements, uncorrected is -1.33 eV per atom. As for the theoretical density: 3.34 g/cm³.

=====

K2ZrAlSe: PBEsol geometry, SCAN.

It has space group P4/mmm (No. 123), with a = 5.9956 Å, b = 5.9956 Å, c = 5.0009 Å, α = 90.00°, β = 90.00° and γ = 90.00°. The asymmetric unit holds K at (0.0000, 0.5000, 0.0000), Zr at (0.0000, 0.0000, 0.5000), Al at (0.5000, 0.5000, 0.5000) and Se at (0.5000, 0.5000, 0.0000).

The value obtained for the energy relative to the elements, uncorrected is 0.57 eV per atom. As for the theoretical density: 2.54 g/cm³.

=====

KAl2Si: PBEsol geometry, SCAN.

It has space group Cm (No. 8), with a = 8.6156 Å, b = 3.0041 Å, c = 7.2084 Å, α = 90.00°, β = 96.63° and γ = 90.00°. The asymmetric unit holds K at (0.0000, 0.0000, 0.0000), Al at (0.2317, 0.0000, 0.6479), Al at (0.4918, 0.0000, 0.4790) and Si at (0.2572, 0.5000, 0.3338).

The value obtained for the energy relative to the elements, uncorrected is 0.18 eV per atom. As for the theoretical density: 2.17 g/cm³.

=====

K2AlSi: PBEsol geometry, SCAN.

It has space group F-43m (No. 216), with a = 7.5008 Å, b = 7.5008 Å, c = 7.5008 Å, α = 90.00°, β = 90.00° and γ = 90.00°. The asymmetric unit holds K at (0.0000, 0.0000, 0.0000), K at (0.2500, 0.2500, 0.2500), Al at (0.0000, 0.0000, 0.5000) and Si at (0.2500, 0.2500, 0.7500).

The value obtained for the energy relative to the elements, uncorrected is 0.44 eV per atom. The value obtained for the energy above the most stable polymorph in this dataset is 484 meV per atom. As for the theoretical density: 2.10 g/cm³.

=====

K2AlSi: PBEsol geometry, SCAN.

It has space group P4mm (No. 99), with a = 3.6225 Å, b = 3.6225 Å, c = 9.9684 Å, α = 90.00°, β = 90.00° and γ = 90.00°. The asymmetric unit holds K at (0.0000, 0.0000, 0.0000), K at (0.5000, 0.5000, 0.4095), Al at (0.5000, 0.5000, 0.7350) and Si at (0.0000, 0.0000, 0.6648).

The value obtained for the energy relative to the elements, uncorrected is 0.26 eV per atom. The value obtained for the energy above the most stable polymorph in this dataset is 311 meV per atom. As for the theoretical density: 1.69 g/cm³.

=====

K2AlSi: PBEsol geometry, SCAN.

It has space group Cm (No. 8), with a = 11.8005 Å, b = 4.2039 Å, c = 5.7854 Å, α = 90.00°, β = 119.16° and γ = 90.00°. The asymmetric unit holds K at (0.0000, 0.0000, 0.0000), K at (0.1812, 0.0000, 0.6788), Al at (0.3893, 0.0000, 0.3814) and Si at (0.2746, 0.5000, 0.2824).

The value obtained for the energy relative to the elements, uncorrected is 0.08 eV per atom. The value obtained for the energy above the most stable polymorph in this dataset is 122 meV per atom. As for the theoretical density: 1.77 g/cm³.

=====

K2AlSi: PBEsol geometry, SCAN.

It has space group P4/mmm (No. 123), with a = 6.3672 Å, b = 6.3672 Å, c = 2.8909 Å, α = 90.00°, β = 90.00° and γ = 90.00°. The asymmetric unit holds K at (0.0000, 0.5000, 0.0000), Al at (0.0000, 0.0000, 0.5000) and Si at (0.5000, 0.5000, 0.5000).

The value obtained for the energy relative to the elements, uncorrected is 0.63 eV per atom. The value obtained for the energy above the most stable polymorph in this dataset is 673 meV per atom. As for the theoretical density: 1.89 g/cm³.

=====

K2AlSi: PBEsol geometry, SCAN.

It has space group I-42d (No. 122), with a = 4.3016 Å, b = 4.3016 Å, c = 23.5677 Å, α = 90.00°, β = 90.00° and γ = 90.00°. The asymmetric unit holds K at (0.2452, 0.2500, 0.1250), Al at (0.0000, 0.0000, 0.5000) and Si at (0.0000, 0.0000, 0.0000).

The value obtained for the energy relative to the elements, uncorrected is 0.70 eV per atom. The value obtained for the energy above the most stable polymorph in this dataset is 743 meV per atom. As for the theoretical density: 2.03 g/cm³.

=====

K2AlSi: PBEsol geometry, SCAN.

It has space group Cmmm (No. 65), with a = 5.7484 Å, b = 10.8521 Å, c = 3.4558 Å, α = 90.00°, β = 90.00° and γ = 90.00°. The asymmetric unit holds K at (0.2500, 0.2500, 0.0000), Al at (0.0000, 0.0000, 0.5000) and Si at (0.0000, 0.5000, 0.5000).

The value obtained for the energy relative to the elements, uncorrected is 0.54 eV per atom. The value obtained for the energy above the most stable polymorph in this dataset is 583 meV per atom. As for the theoretical density: 2.05 g/cm³.

=====

KAl2Si: PBEsol geometry, SCAN.

It has space group Cmmm (No. 65), with a = 6.0317 Å, b = 10.1141 Å, c = 2.7398 Å, α = 90.00°, β = 90.00° and γ = 90.00°. The asymmetric unit holds K at (0.0000, 0.0000, 0.0000), Al at (0.2500, 0.2500, 0.5000) and Si at (0.0000, 0.5000, 0.0000).

The value obtained for the energy relative to the elements, uncorrected is 0.62 eV per atom. As for the theoretical density: 2.41 g/cm³.

=====

K2AlSi: PBEsol geometry, SCAN.

It has space group R3m (No. 160, hexagonal axes), with a = 4.2525 Å, b = 4.2525 Å, c = 28.2459 Å, α = 90.00°, β = 90.00° and γ = 120.00°. The asymmetric unit holds K at (0.0000, 0.0000, 0.0000), K at (0.0000, 0.0000, 0.1847), Al at (0.0000, 0.0000, 0.4257) and Si at (0.0000, 0.0000, 0.7591).

The value obtained for the energy relative to the elements, uncorrected is -0.05 eV per atom. The value obtained for the energy above the most stable polymorph in this dataset is 0 meV per atom. As for the theoretical density: 1.50 g/cm³.

=====

KAl2Si: PBEsol geometry, SCAN.

It has space group P2/m (No. 10), with a = 2.8954 Å, b = 4.2909 Å, c = 7.3801 Å, α = 90.00°, β = 100.94° and γ = 90.00°. The asymmetric unit holds K at (0.0000, 0.0000, 0.0000), Al at (0.3288, 0.5000, 0.6714) and Si at (0.5000, 0.0000, 0.5000).

The value obtained for the energy relative to the elements, uncorrected is 0.26 eV per atom. As for the theoretical density: 2.23 g/cm³.